(1)
A plane-wave DFT calculation with PBE-GGA was carried out for a relaxed ReAsSBr2 crystal.

```
5
Lattice="4.966 0.000 0.000 0.000 4.966 0.000 0.000 0.000 4.898" Properties=species:S:1:pos:R:3 pbc="T T T"
Re 0.000 0.000 0.000
As 0.000 0.000 2.449
S 2.483 2.483 2.449
Br 0.000 2.483 0.000
Br 2.483 0.000 0.000
```

Output
The total magnetization is 0.119 μB per atom. Its density is 6229 kg/m3. Its formation energy without anion corrections is 843 meV/atom. Its energy above the most stable polymorph in this dataset is 0 meV/atom. The total energy comes out at -4.071 eV/atom.

***

(2)
A plane-wave DFT calculation with PBE-GGA was carried out for a relaxed LiAcSbAu crystal.

```
16
Lattice="7.607 0.000 0.000 0.000 7.607 0.000 0.000 0.000 7.607" Properties=species:S:1:pos:R:3 pbc="T T T"
Li 0.000 0.000 0.000
Li 0.000 3.804 3.804
Li 3.804 0.000 3.804
Li 3.804 3.804 0.000
Ac 0.000 0.000 3.804
Ac 0.000 3.804 0.000
Ac 3.804 0.000 0.000
Ac 3.804 3.804 3.804
Sb 1.902 1.902 1.902
Sb 1.902 5.706 5.706
Sb 5.706 1.902 5.706
Sb 5.706 5.706 1.902
Au 1.902 1.902 5.706
Au 1.902 5.706 1.902
Au 5.706 1.902 1.902
Au 5.706 5.706 5.706
```

Output
The total magnetization is 0.000 μB per atom. Its density is 8338 kg/m3. Its formation energy without anion corrections is -748 meV/atom. The total energy comes out at -4.103 eV/atom.